No. 1
Density functional theory data (PBE-GGA) for Rb3Cd4Pb4 after structural relaxation.

Lattice parameters (Å, degrees): 9.461 9.461 9.461 90.00 90.00 90.00
Space group I-43m (No. 217)
Inequivalent atoms, fractional coordinates:
Rb (0.000, 0.000, 0.500) x6
Cd (0.164, 0.164, 0.164) x8
Pb (0.157, 0.157, 0.843) x8

Computed properties:
The formation energy comes out at -51 meV per atom.

No. 2
Density functional theory data (PBE-GGA) for Na2ZnAu3 after structural relaxation.

Lattice parameters (Å, degrees): 5.6535 5.6535 13.0739 90.00 90.00 120.00
Space group R-3m (No. 166, hexagonal axes)
Inequivalent atoms, fractional coordinates:
Na (0.0000, 0.0000, 0.1230) x6
Zn (0.0000, 0.0000, 0.5000) x3
Au (0.0000, 0.5000, 0.0000) x9

Computed properties:
The formation energy comes out at -352 meV per atom.

No. 3
Density functional theory data (PBE-GGA) for LaCe3Ir8 after structural relaxation.

Lattice parameters (Å, degrees): 5.4228 5.4228 8.8272 90.00 90.00 120.00
Space group P3m1 (No. 156)
Inequivalent atoms, fractional coordinates:
La (0.0000, 0.0000, 0.0000) x1
Ce (0.0000, 0.0000, 0.3621) x1
Ce (0.6667, 0.3333, 0.5023) x1
Ce (0.6667, 0.3333, 0.8575) x1
Ir (0.1649, 0.3298, 0.6784) x3
Ir (0.3333, 0.6667, 0.4306) x1
Ir (0.3333, 0.6667, 0.9317) x1
Ir (0.5026, 0.0052, 0.1848) x3

Computed properties:
The formation energy comes out at -709 meV per atom.

No. 4
Density functional theory data (PBE-GGA) for U2ZnSi4Pt3 after structural relaxation.

Lattice parameters (Å, degrees): 4.169 4.169 10.010 90.00 90.00 90.00
Space group P-4m2 (No. 115)
Inequivalent atoms, fractional coordinates:
U (0.000, 0.500, 0.248) x2
Zn (0.000, 0.000, 0.500) x1
Si (0.000, 0.000, 0.000) x1
Si (0.000, 0.500, 0.638) x2
Si (0.500, 0.500, 0.000) x1
Pt (0.000, 0.500, 0.877) x2
Pt (0.500, 0.500, 0.500) x1

Computed properties:
For the formation energy from raw total energies, the calculation gives -0.662 eV/atom.

| no. | magnetization (μB per atom) |
| --- | --- |
| 1 | 0.00 |
| 2 | 0.00 |
| 3 | 0.08 |
| 4 | 0.44 |